#w
Below is crystalline CsMg6W at its relaxed geometry, with properties calculated at the PBE level.

* calculated volume: 26.0 A^3/atom
* crystal system: orthorhombic

Unit cell a=8.0749 b=8.0749 c=3.1929 alpha=90.00 beta=90.00 gamma=89.31
Fractional coordinates of all 8 atoms:
1 Mg 0.0753 0.6143 0.5000
2 Mg 0.8597 0.8597 0.0000
3 Mg 0.6143 0.0753 0.5000
4 Mg 0.8000 0.3985 0.0000
5 Mg 0.4454 0.4454 0.0000
6 W 0.6620 0.6620 0.5000
7 Cs 0.1449 0.1449 0.5000
8 Mg 0.3985 0.8000 0.0000

***

#x
Below is crystalline CsMg6W at its relaxed geometry, with properties calculated at the PBE level.

* calculated volume: 23.6 A^3/atom
* crystal system: orthorhombic

Unit cell a=6.4954 b=6.4954 c=5.1724 alpha=90.00 beta=90.00 gamma=120.07
Fractional coordinates of all 8 atoms:
1 Mg 0.9375 0.5935 0.0000
2 Mg 0.0642 0.9358 0.5000
3 Mg 0.4066 0.5934 0.0000
4 Cs 0.5836 0.4164 0.5000
5 W 0.9166 0.0834 0.0000
6 Mg 0.0650 0.3799 0.5000
7 Mg 0.4065 0.0625 0.0000
8 Mg 0.6201 0.9350 0.5000

***

Stability summary: most stable #w, least stable #x.

***

#w
Below is crystalline CsYMg3 at its relaxed geometry, with properties calculated at the PBE level.

* calculated volume: 40.2 A^3/atom
* crystal system: cubic

Unit cell a=5.8583 b=5.8583 c=5.8583 alpha=90.00 beta=90.00 gamma=90.00
Fractional coordinates of all 5 atoms:
1 Cs 0.0000 0.0000 0.0000
2 Mg 0.0000 0.0000 0.5000
3 Mg 0.5000 0.0000 0.0000
4 Mg 0.0000 0.5000 0.0000
5 Y 0.5000 0.5000 0.5000

***

#x
Below is crystalline CsYMg3 at its relaxed geometry, with properties calculated at the PBE level.

* calculated volume: 49.2 A^3/atom
* crystal system: cubic

Unit cell a=6.2659 b=6.2659 c=6.2659 alpha=90.00 beta=90.00 gamma=90.00
Fractional coordinates of all 5 atoms:
1 Mg 0.0000 0.5000 0.0000
2 Mg 0.0000 0.0000 0.5000
3 Cs 0.5000 0.5000 0.5000
4 Mg 0.5000 0.0000 0.0000
5 Y 0.0000 0.0000 0.0000

***

Stability summary: most stable #x, least stable #w.

***

#w
Below is crystalline Cs2Y2Mg at its relaxed geometry, with properties calculated at the PBE level.

* calculated volume: 55.8 A^3/atom
* crystal system: tetragonal

Unit cell a=4.5720 b=4.5720 c=13.7358 alpha=80.42 beta=80.42 gamma=90.00
Fractional coordinates of all 5 atoms:
1 Cs 0.6050 0.6050 0.7901
2 Y 0.7500 0.2500 0.5000
3 Mg 0.0000 0.0000 0.0000
4 Cs 0.3950 0.3950 0.2099
5 Y 0.2500 0.7500 0.5000

***

#x
Below is crystalline Cs2Y2Mg at its relaxed geometry, with properties calculated at the PBE level.

* calculated volume: 43.6 A^3/atom
* crystal system: tetragonal

Unit cell a=10.7185 b=10.7185 c=3.7981 alpha=90.00 beta=90.00 gamma=90.00
Fractional coordinates of all 10 atoms:
1 Y 0.6784 0.8216 0.5000
2 Cs 0.3729 0.8729 0.0000
3 Mg 0.0000 0.0000 0.0000
4 Y 0.3216 0.1784 0.5000
5 Cs 0.6271 0.1271 0.0000
6 Mg 0.5000 0.5000 0.0000
7 Y 0.8216 0.3216 0.5000
8 Cs 0.8729 0.6271 0.0000
9 Cs 0.1271 0.3729 0.0000
10 Y 0.1784 0.6784 0.5000

***

Stability summary: most stable #w, least stable #x.

***

#w
Below is crystalline Cs2MgZn at its relaxed geometry, with properties calculated at the PBE level.

* calculated volume: 53.3 A^3/atom
* crystal system: cubic

Unit cell a=6.7050 b=6.7050 c=6.7050 alpha=60.00 beta=60.00 gamma=60.00
Fractional coordinates of all 4 atoms:
1 Mg 0.0000 0.0000 0.0000
2 Zn 0.5000 0.5000 0.5000
3 Cs 0.2500 0.2500 0.2500
4 Cs 0.7500 0.7500 0.7500

***

#x
Below is crystalline Cs2MgZn at its relaxed geometry, with properties calculated at the PBE level.

* calculated volume: 55.2 A^3/atom
* crystal system: tetragonal

Unit cell a=8.4860 b=8.4860 c=8.4860 alpha=101.99 beta=101.99 gamma=125.76
Fractional coordinates of all 8 atoms:
1 Zn 0.0000 0.0000 0.0000
2 Cs 0.1250 0.0880 0.4630
3 Mg 0.7500 0.2500 0.5000
4 Cs 0.6250 0.6620 0.5370
5 Cs 0.9120 0.3750 0.0370
6 Cs 0.3380 0.8750 0.9630
7 Mg 0.5000 0.5000 0.0000
8 Zn 0.2500 0.7500 0.5000

***

Stability summary: most stable #w, least stable #x.